Material: MnCdHg2
Method: DFT, PBE
State: optimized geometry

Geometry as POSCAR:
```
MnCdHg2
1.0
6.6867 -0.0435 0.0302
5.9850 2.9823 0.0302
1.6748 0.3884 4.3650
Hg Mn Cd
2 1 1
Cartesian
11.2897 2.6183 3.0871
1.7618 0.4086 4.3413
7.1302 1.6536 2.2459
3.0128 0.6987 1.3288
```

Values from the calculation:
Its formation energy is 0.196 eV per atom. The total energy comes out at -9.90 eV/cell.

=====

Material: AcPm2PaP4
Method: DFT, PBE
State: optimized geometry

Geometry as POSCAR:
```
AcPm2PaP4
1.0
5.8838 0.0015 0.0000
-0.0044 5.8838 0.0000
-2.9397 -2.9426 5.8942
Ac P Pa Pm
1 4 1 2
Cartesian
2.9397 2.9426 0.0000
0.0000 0.0000 2.8726
2.9419 0.0008 5.7329
2.9397 2.9426 3.0216
2.9419 0.0008 0.1614
2.9419 0.0008 2.9471
-0.0022 2.9419 2.9471
0.0000 0.0000 0.0000
```

Values from the calculation:
Its formation energy is -1.418 eV per atom. The total energy comes out at -56.09 eV/cell.